# 1
A relaxed SmDy6Se8 crystal, computed with PBE-GGA.

Lattice parameters (Å, degrees): 8.132 8.132 8.132 60.00 60.00 60.00
Element x y z (fractional)
Dy 0.500 0.000 0.000
Dy 0.500 0.500 0.000
Se 0.258 0.742 0.742
Se 0.742 0.258 0.742
Se 0.258 0.742 0.258
Se 0.742 0.742 0.258
Dy 0.000 0.500 0.500
Sm 0.000 0.000 0.000
Se 0.258 0.258 0.742
Se 0.742 0.258 0.258
Dy 0.500 0.000 0.500
Dy 0.000 0.000 0.500
Dy 0.000 0.500 0.000
Se 0.250 0.250 0.250
Se 0.750 0.750 0.750

Output
DOS at the Fermi energy, states/eV per atom: 0.401
E_form (uncorrected), meV per atom: -1831
Space-group type: Fm-3m, No. 225

---

# 2
A relaxed GeSN2F crystal, computed with PBE-GGA.

Lattice parameters (Å, degrees): 3.485 3.485 5.036 90.00 90.00 90.00
Element x y z (fractional)
S 0.000 0.000 0.000
F 0.000 0.000 0.500
N 0.500 0.000 0.000
N 0.000 0.500 0.000
Ge 0.500 0.500 0.500

Output
DOS at the Fermi energy, states/eV per atom: 0.482
E_form (uncorrected), meV per atom: 882
Space-group type: P4/mmm, No. 123

---

# 3
A relaxed BaCuOs2 crystal, computed with PBE-GGA.

Lattice parameters (Å, degrees): 5.072 5.072 5.952 78.27 78.27 33.92
Element x y z (fractional)
Cu 0.750 0.750 0.750
Os 0.033 0.033 0.897
Os 0.467 0.467 0.603
Ba 0.250 0.250 0.250

Output
DOS at the Fermi energy, states/eV per atom: 1.104
Raw total energy, eV per atom: -6.22
Space-group type: C2/m, No. 12

---

# 4
A relaxed Hf2Te crystal, computed with PBE-GGA.

Lattice parameters (Å, degrees): 7.843 7.843 10.107 89.22 89.22 27.70
Element x y z (fractional)
Te 0.867 0.867 0.870
Hf 0.250 0.250 0.383
Hf 0.220 0.220 0.872
Hf 0.589 0.589 0.344
Te 0.419 0.419 0.196
Hf 0.411 0.411 0.656
Te 0.581 0.581 0.804
Hf 0.088 0.088 0.578
Hf 0.912 0.912 0.422
Hf 0.750 0.750 0.617
Hf 0.780 0.780 0.128
Te 0.133 0.133 0.130

Output
DOS at the Fermi energy, states/eV per atom: 0.778
E_form (uncorrected), meV per atom: -498
Space-group type: C2/m, No. 12

---

# 5
A relaxed YZnReOs2 crystal, computed with PBE-GGA.

Lattice parameters (Å, degrees): 4.509 4.740 4.509 90.00 90.00 90.00
Site moments in Bohr magnetons follow the coordinates.
Element x y z (fractional)
Os 0.000 0.000 0.500  0.07
Zn 0.000 0.000 0.000  0.00
Re 0.500 0.500 0.500  0.97
Os 0.500 0.000 0.000  0.03
Y 0.000 0.500 0.000  -0.02

Output
DOS at the Fermi energy, states/eV per atom: 1.270
Raw total energy, eV per atom: -6.80
Space-group type: P4/mmm, No. 123

---

# 6
A relaxed MgSc2Fe crystal, computed with PBE-GGA.

Lattice parameters (Å, degrees): 5.843 5.843 4.747 66.03 66.03 31.57
Element x y z (fractional)
Sc 0.197 0.197 0.303
Fe 0.504 0.504 0.495
Mg 0.797 0.797 0.703
Sc 0.002 0.002 0.998

Output
DOS at the Fermi energy, states/eV per atom: 1.149
Raw total energy, eV per atom: -5.61
Space-group type: Cm, No. 8

---

# 7
A relaxed TaCd2Co crystal, computed with PBE-GGA.

Lattice parameters (Å, degrees): 4.593 4.593 4.593 60.00 60.00 60.00
Site moments in Bohr magnetons follow the coordinates.
Element x y z (fractional)
Cd 0.750 0.750 0.750  -0.02
Co 0.000 0.000 0.000  0.80
Cd 0.250 0.250 0.250  -0.02
Ta 0.500 0.500 0.500  -0.15

Output
DOS at the Fermi energy, states/eV per atom: 0.557
Raw total energy, eV per atom: -4.58
Space-group type: Fm-3m, No. 225

---

# 8
A relaxed Rb2Pt3Pb2 crystal, computed with PBE-GGA.

Lattice parameters (Å, degrees): 4.516 7.045 7.085 90.80 108.58 90.00
Element x y z (fractional)
Rb 0.137 0.395 0.274
Pt 0.000 0.000 0.000
Pb 0.596 0.831 0.191
Pt 0.202 0.952 0.404
Pb 0.404 0.169 0.809
Rb 0.863 0.605 0.726
Pt 0.798 0.048 0.596

Output
DOS at the Fermi energy, states/eV per atom: 0.552
Raw total energy, eV per atom: -4.12
Space-group type: C2/m, No. 12

---

Which of these has the highest DOS at the Fermi energy? YZnReOs2

---

The highest DOS at the Fermi energy belongs to which entry? YZnReOs2

---

Which value of DOS at the Fermi energy does entry 2 give? 0.482 states/eV per atom

---

Which value of DOS at the Fermi energy does entry 7 give? 0.557 states/eV per atom